Ta2WO: optimized geometry, PBE+U.

V: 66 Å³/f.u.
Uncorrected energy: -9.000 eV per atom

Lattice parameters (Å, degrees): 6.4134 6.4134 5.5439 54.66 54.66 90.00
Last column: nearest neighbours and their distance in Å.
Sites, in units of the cell vectors:
O  0.5000  0.5000  0.0000  4 Ta 2.06
O  0.2500  0.7500  0.5000  4 Ta 2.06
W  0.0000  0.0000  0.0000  8 Ta 2.83-3.05
W  0.7500  0.2500  0.5000  8 Ta 2.83-3.05
Ta  0.5331  0.1250  0.2500  2 O 2.06
Ta  0.2169  0.6250  0.2500  2 O 2.06
Ta  0.3750  0.4669  0.7500  2 O 2.06
Ta  0.8750  0.7831  0.7500  2 O 2.06